(1)
The following is a PBE calculation of a relaxed Li2YReN4 crystal, from Alexandria via LeMat-Bulk. Values from VASP.

Geometry as Quantum ESPRESSO input:
```
&SYSTEM
  ibrav = 0, nat = 16, ntyp = 4
/
ATOMIC_SPECIES
Li 6.94 Li.upf
Y 88.91 Y.upf
Re 186.21 Re.upf
N 14.01 N.upf
CELL_PARAMETERS angstrom
6.557 0.000 0.000
-2.843 5.920 0.000
-2.226 -2.709 5.978
ATOMIC_POSITIONS angstrom
Li 0.000 0.000 0.000
Li -1.437 2.893 0.801
Li 1.626 -1.012 3.801
Li 4.785 -1.020 2.954
Y -3.044 1.904 3.743
Y 1.747 3.008 0.013
Re 0.025 2.056 2.888
Re 3.387 -0.066 0.868
N -0.563 4.649 0.008
N -1.424 3.159 2.859
N 0.302 1.706 1.120
N -0.608 0.552 3.755
N 3.544 1.595 0.057
N 2.960 0.036 2.637
N 1.457 2.910 3.698
N 2.162 5.017 0.891
```

Values from the calculation:
Its raw formation energy is -0.74 eV per atom. As for the space-group type: P1, No. 1.

---

(2)
The following is a PBE calculation of a relaxed ErCd11Ni crystal, from Alexandria via LeMat-Bulk. Values from VASP.

Geometry as Quantum ESPRESSO input:
```
&SYSTEM
  ibrav = 0, nat = 13, ntyp = 3
/
ATOMIC_SPECIES
Er 167.26 Er.upf
Cd 112.41 Cd.upf
Ni 58.69 Ni.upf
CELL_PARAMETERS angstrom
2.860 -7.059 0.000
2.860 7.059 0.000
-2.822 0.000 6.968
ATOMIC_POSITIONS angstrom
Er 0.000 0.000 0.000
Cd -1.411 0.000 3.484
Cd 1.430 3.529 0.000
Cd 0.097 2.364 2.491
Cd 0.121 1.443 5.463
Cd 0.097 -2.364 2.491
Cd 2.777 1.443 1.505
Cd 1.430 -3.529 0.000
Cd 0.121 -1.443 5.463
Cd 2.801 2.364 4.477
Cd 2.777 -1.443 1.505
Cd 2.801 -2.364 4.477
Ni 1.449 0.000 3.484
```

Values from the calculation:
As for the space-group type: C2/m, No. 12. The calculation puts the formation energy at -0.7 eV per formula unit.

---

(3)
The following is a PBE calculation of a relaxed AcPm2Al2Sn2 crystal, from Alexandria via LeMat-Bulk. Values from VASP.

Geometry as Quantum ESPRESSO input:
```
&SYSTEM
  ibrav = 0, nat = 7, ntyp = 4
/
ATOMIC_SPECIES
Ac 227.00 Ac.upf
Pm 145.00 Pm.upf
Al 26.98 Al.upf
Sn 118.71 Sn.upf
CELL_PARAMETERS angstrom
2.386 1.378 10.080
-2.386 1.378 10.080
0.000 -2.755 10.080
ATOMIC_POSITIONS angstrom
Ac 0.000 0.000 0.000
Pm 0.000 0.000 4.001
Pm 0.000 0.000 26.239
Al 0.000 0.000 12.559
Al 0.000 0.000 17.681
Sn 0.000 0.000 7.924
Sn 0.000 0.000 22.316
```

Values from the calculation:
As for the space-group type: R-3m, No. 166. The calculation puts the formation energy at -2.4 eV per formula unit.

---

(4)
The following is a PBE calculation of a relaxed ThSiIrRh crystal, from Alexandria via LeMat-Bulk. Values from VASP.

Geometry as Quantum ESPRESSO input:
```
&SYSTEM
  ibrav = 0, nat = 4, ntyp = 4
/
ATOMIC_SPECIES
Th 232.04 Th.upf
Si 28.09 Si.upf
Ir 192.22 Ir.upf
Rh 102.91 Rh.upf
CELL_PARAMETERS angstrom
4.293 0.000 0.000
0.000 2.053 4.645
0.000 -2.053 4.645
ATOMIC_POSITIONS angstrom
Th 0.000 0.000 0.000
Si 2.146 0.000 3.665
Ir 0.000 0.000 2.621
Rh 2.146 0.000 7.034
```

Values from the calculation:
Its raw formation energy is -0.66 eV per atom. As for the space-group type: Amm2, No. 38.

---

(5)
The following is a PBE calculation of a relaxed Ta2MnNi crystal, from Alexandria via LeMat-Bulk. Values from VASP.

Geometry as Quantum ESPRESSO input:
```
&SYSTEM
  ibrav = 0, nat = 4, ntyp = 3
/
ATOMIC_SPECIES
Ta 180.95 Ta.upf
Mn 54.94 Mn.upf
Ni 58.69 Ni.upf
CELL_PARAMETERS angstrom
2.853 0.000 0.000
0.000 2.853 0.000
0.000 0.000 7.491
ATOMIC_POSITIONS angstrom
Ta 0.000 0.000 0.000
Ta 1.426 1.426 2.280
Mn 0.000 0.000 4.201
Ni 1.426 1.426 5.680
```

Values from the calculation:
As for the space-group type: P4mm, No. 99. The calculation puts the formation energy at 0.0 eV per formula unit. As for the offset from the most stable computed form: 0.140 eV/atom.

---

(6)
The following is a PBE calculation of a relaxed Ca3Nd3AgSe8 crystal, from Alexandria via LeMat-Bulk. Values from VASP.

Geometry as Quantum ESPRESSO input:
```
&SYSTEM
  ibrav = 0, nat = 15, ntyp = 4
/
ATOMIC_SPECIES
Ca 40.08 Ca.upf
Nd 144.24 Nd.upf
Ag 107.87 Ag.upf
Se 78.96 Se.upf
CELL_PARAMETERS angstrom
4.206 2.429 6.879
-4.206 2.429 6.879
0.000 -4.857 6.879
ATOMIC_POSITIONS angstrom
Ca -2.103 -1.214 6.879
Ca -2.103 1.214 13.759
Ca 0.000 2.429 6.879
Nd -4.206 0.000 10.319
Nd -2.103 1.214 3.440
Nd 2.103 1.214 3.440
Ag 0.000 0.000 10.319
Se -2.117 -1.222 12.015
Se 0.000 -2.444 8.623
Se -2.117 1.222 8.623
Se 0.000 0.000 5.175
Se 0.000 0.000 15.463
Se 2.117 -1.222 12.015
Se 0.000 2.444 12.015
Se 2.117 1.222 8.623
```

Values from the calculation:
Its raw formation energy is -1.67 eV per atom. As for the space-group type: R-3m, No. 166.

---

(7)
The following is a PBE calculation of a relaxed CaZn4Sb crystal, from Alexandria via LeMat-Bulk. Values from VASP.

Geometry as Quantum ESPRESSO input:
```
&SYSTEM
  ibrav = 0, nat = 6, ntyp = 3
/
ATOMIC_SPECIES
Ca 40.08 Ca.upf
Zn 65.41 Zn.upf
Sb 121.76 Sb.upf
CELL_PARAMETERS angstrom
0.000 3.917 3.917
3.917 0.000 3.917
3.917 3.917 0.000
ATOMIC_POSITIONS angstrom
Ca 0.000 0.000 0.000
Zn 2.933 2.933 2.933
Zn 4.901 4.901 2.933
Zn 4.901 2.933 4.901
Zn 2.933 4.901 4.901
Sb 5.876 5.876 5.876
```

Values from the calculation:
Its raw formation energy is -0.11 eV per atom. As for the space-group type: F-43m, No. 216.

---

(8)
The following is a PBE calculation of a relaxed RbLiP2Au crystal, from Alexandria via LeMat-Bulk. Values from VASP.

Geometry as Quantum ESPRESSO input:
```
&SYSTEM
  ibrav = 0, nat = 5, ntyp = 4
/
ATOMIC_SPECIES
Rb 85.47 Rb.upf
Li 6.94 Li.upf
P 30.97 P.upf
Au 196.97 Au.upf
CELL_PARAMETERS angstrom
4.983 0.000 0.000
0.000 4.983 0.000
0.000 0.000 5.053
ATOMIC_POSITIONS angstrom
Rb 0.000 0.000 0.000
Li 2.492 2.492 0.000
P 0.000 2.492 2.526
P 2.492 0.000 2.526
Au 2.492 2.492 2.526
```

Values from the calculation:
As for the space-group type: P4/mmm, No. 123. The calculation puts the formation energy at 0.7 eV per formula unit. As for the offset from the most stable computed form: 0.000 eV/atom.

---

(9)
The following is a PBE calculation of a relaxed La4PmPr3S8 crystal, from Alexandria via LeMat-Bulk. Values from VASP.

Geometry as Quantum ESPRESSO input:
```
&SYSTEM
  ibrav = 0, nat = 16, ntyp = 4
/
ATOMIC_SPECIES
La 138.91 La.upf
Pm 145.00 Pm.upf
Pr 140.91 Pr.upf
S 32.06 S.upf
CELL_PARAMETERS angstrom
4.125 2.382 6.721
-4.125 2.382 6.721
0.000 -4.764 6.721
ATOMIC_POSITIONS angstrom
La 0.000 0.000 0.000
La -2.063 -1.191 6.721
La -2.063 1.191 13.442
La 0.000 2.382 6.721
Pm 0.000 0.000 10.082
Pr -4.125 0.000 10.082
Pr -2.063 1.191 3.361
Pr 2.063 1.191 3.361
S 0.000 0.000 5.031
S -2.044 -1.180 11.736
S 0.000 -2.360 8.427
S -2.044 1.180 8.427
S 2.044 -1.180 11.736
S 0.000 2.360 11.736
S 2.044 1.180 8.427
S 0.000 0.000 15.132
```

Values from the calculation:
Its raw formation energy is -2.10 eV per atom. As for the space-group type: R-3m, No. 166.

---

(10)
The following is a PBE calculation of a relaxed TlAgSn2 crystal, from Alexandria via LeMat-Bulk. Values from VASP.

Geometry as Quantum ESPRESSO input:
```
&SYSTEM
  ibrav = 0, nat = 8, ntyp = 3
/
ATOMIC_SPECIES
Tl 204.38 Tl.upf
Ag 107.87 Ag.upf
Sn 118.71 Sn.upf
CELL_PARAMETERS angstrom
-3.303 3.303 6.412
3.303 -3.303 6.412
3.303 3.303 -6.412
ATOMIC_POSITIONS angstrom
Tl 0.000 0.000 0.000
Tl 0.000 3.303 3.206
Ag 3.303 0.000 3.206
Ag 0.000 0.000 6.412
Sn 1.652 -1.407 4.809
Sn 1.896 1.652 1.603
Sn 1.652 4.710 -1.603
Sn 1.407 1.652 8.014
```

Values from the calculation:
As for the space-group type: I-42d, No. 122. The calculation puts the formation energy at 1.6 eV per formula unit. As for the offset from the most stable computed form: 0.369 eV/atom.

---

(11)
The following is a PBE calculation of a relaxed Na2Sr4Hf crystal, from Alexandria via LeMat-Bulk. Values from VASP.

Geometry as Quantum ESPRESSO input:
```
&SYSTEM
  ibrav = 0, nat = 7, ntyp = 3
/
ATOMIC_SPECIES
Na 22.99 Na.upf
Sr 87.62 Sr.upf
Hf 178.49 Hf.upf
CELL_PARAMETERS angstrom
-3.122 3.122 9.242
3.122 -3.122 9.242
3.122 3.122 -9.242
ATOMIC_POSITIONS angstrom
Na 0.000 0.000 2.103
Na 0.000 0.000 16.381
Sr 3.122 0.000 0.000
Sr 0.000 0.000 5.910
Sr 0.000 3.122 0.000
Sr 0.000 0.000 12.574
Hf 0.000 0.000 9.242
```

Values from the calculation:
As for the space-group type: I4/mmm, No. 139. The calculation puts the formation energy at 4.1 eV per formula unit.

---

(12)
The following is a PBE calculation of a relaxed RbNaTlZn crystal, from Alexandria via LeMat-Bulk. Values from VASP.

Geometry as Quantum ESPRESSO input:
```
&SYSTEM
  ibrav = 0, nat = 4, ntyp = 4
/
ATOMIC_SPECIES
Rb 85.47 Rb.upf
Na 22.99 Na.upf
Tl 204.38 Tl.upf
Zn 65.41 Zn.upf
CELL_PARAMETERS angstrom
0.000 4.019 4.019
4.019 0.000 4.019
4.019 4.019 0.000
ATOMIC_POSITIONS angstrom
Rb 0.000 0.000 0.000
Na 2.009 2.009 2.009
Tl 4.019 4.019 4.019
Zn 6.028 6.028 6.028
```

Values from the calculation:
As for the space-group type: F-43m, No. 216. The calculation puts the formation energy at 0.5 eV per formula unit.